Compound: SbAu3
Source: the Alexandria database
Functional: PBEsol
Structure: optimized geometry

Unit cell a=6.199 b=6.815 c=7.594 alpha=90.00 beta=90.00 gamma=90.00
Element x y z (fractional)
1 Sb 0.080 0.250 0.086
2 Sb 0.420 0.750 0.586
3 Sb 0.580 0.250 0.414
4 Sb 0.920 0.750 0.914
5 Au 0.109 0.250 0.707
6 Au 0.189 0.039 0.398
7 Au 0.189 0.461 0.398
8 Au 0.311 0.539 0.898
9 Au 0.311 0.961 0.898
10 Au 0.391 0.750 0.207
11 Au 0.609 0.250 0.793
12 Au 0.689 0.039 0.102
13 Au 0.689 0.461 0.102
14 Au 0.811 0.539 0.602
15 Au 0.811 0.961 0.602
16 Au 0.891 0.750 0.293

As for the density of states at the Fermi level: 4.95 states/eV per cell. Its mass density is 14.8 g/cm³. The value obtained for the formation energy (no corrections) is 2 kJ/mol of atoms. For the total magnetization, the calculation gives 0.00 μB per formula unit.